Below is an optimized crystal structure of Tl2NiSe2O6, with properties calculated at the GGA+U level.

a b c (Å): 6.870 6.870 8.081
angles (deg): 123.93 123.93 45.97
Fractional coordinates of all 11 atoms:
Tl: 0.201 0.201 0.243
Tl: 0.799 0.799 0.757
Ni: 0.000 0.000 0.500
Se: 0.457 0.457 0.202
Se: 0.543 0.543 0.798
O: 0.154 0.655 0.273
O: 0.345 0.846 0.727
O: 0.373 0.373 0.635
O: 0.627 0.627 0.365
O: 0.655 0.154 0.273
O: 0.846 0.345 0.727

* space group: C2/m (12)
* total energy: -4.818 eV/atom
* magnetization: 2.0 Bohr magnetons per cell
* crystal system: monoclinic